# 1
Below is crystalline YBePdPt2 at its relaxed geometry, with properties calculated at the PBE level.

Summary:
- E_tot: -6.3103 eV/atom
- ρ: 11.8 Mg/m³
- Spin magnetization: 0.0 μB per cell
- Calculated volume: 16.7 A^3/atom
- Energy of formation from the pure elements: -78.9 kJ per mole of atoms

Cell and atoms, written as CIF:
```
data_YBePdPt2
_chemical_formula_sum 'Y1 Be1 Pd1 Pt2'
_space_group_name_H-M_alt 'P 4/m m m'
_space_group_IT_number 123
_space_group_name_Hall '-P 4 2'
_cell_length_a 4.380
_cell_length_b 4.380
_cell_length_c 4.344
_cell_angle_alpha 90.00
_cell_angle_beta 90.00
_cell_angle_gamma 90.00
loop_
_atom_site_label
_atom_site_type_symbol
_atom_site_fract_x
_atom_site_fract_y
_atom_site_fract_z
_atom_site_occupancy
Y1 Y 0.000 0.000 0.000 1
Be1 Be 0.500 0.500 0.500 1
Pd1 Pd 0.500 0.500 0.000 1
Pt1 Pt 0.000 0.500 0.500 1
```

***

# 2
Below is crystalline AcMg4Pd4 at its relaxed geometry, with properties calculated at the PBE level.

Summary:
- E_tot: -3.9728 eV/atom
- ρ: 6.2 Mg/m³
- Spin magnetization: 0.0 μB per cell
- Calculated volume: 22.2 A^3/atom
- Energy of formation from the pure elements: -48.2 kJ per mole of atoms

Cell and atoms, written as CIF:
```
data_AcMg4Pd4
_chemical_formula_sum 'Ac2 Mg8 Pd8'
_space_group_name_H-M_alt 'I 4/m'
_space_group_IT_number 87
_space_group_name_Hall '-I 4'
_cell_length_a 8.969
_cell_length_b 8.969
_cell_length_c 4.977
_cell_angle_alpha 90.00
_cell_angle_beta 90.00
_cell_angle_gamma 90.00
loop_
_atom_site_label
_atom_site_type_symbol
_atom_site_fract_x
_atom_site_fract_y
_atom_site_fract_z
_atom_site_occupancy
Ac1 Ac 0.000 0.000 0.000 1
Mg1 Mg 0.094 0.633 0.500 1
Pd1 Pd 0.171 0.701 0.000 1
```

***

# 3
Below is crystalline BaSrLaBiO6 at its relaxed geometry, with properties calculated at the PBE level.

Summary:
- Formation energy without anion corrections: -2.07 eV/atom
- E_tot: -6.2869 eV/atom
- ρ: 6.5 Mg/m³
- Spin magnetization: 0.0 μB per cell
- Calculated volume: 17.2 A^3/atom
- Relative energy among the computed polymorphs: 300 meV per atom

Cell and atoms, written as CIF:
```
data_BaSrLaBiO6
_chemical_formula_sum 'Ba4 Sr4 La4 Bi4 O24'
_space_group_name_H-M_alt 'F -4 3 m'
_space_group_IT_number 216
_space_group_name_Hall 'F -4 2 3'
_cell_length_a 8.826
_cell_length_b 8.826
_cell_length_c 8.826
_cell_angle_alpha 90.00
_cell_angle_beta 90.00
_cell_angle_gamma 90.00
loop_
_atom_site_label
_atom_site_type_symbol
_atom_site_fract_x
_atom_site_fract_y
_atom_site_fract_z
_atom_site_occupancy
Ba1 Ba 0.000 0.000 0.000 1
Sr1 Sr 0.250 0.250 0.250 1
La1 La 0.000 0.000 0.500 1
Bi1 Bi 0.250 0.250 0.750 1
O1 O 0.013 0.250 0.750 1
```

***

# 4
Below is crystalline ZnCuSnAu2 at its relaxed geometry, with properties calculated at the PBE level.

Summary:
- E_tot: -2.8578 eV/atom
- ρ: 9.8 Mg/m³
- Spin magnetization: 0.0 μB per cell
- Calculated volume: 21.7 A^3/atom
- Energy of formation from the pure elements: 31.6 kJ per mole of atoms

Cell and atoms, written as CIF:
```
data_ZnCuSnAu2
_chemical_formula_sum 'Zn1 Cu1 Sn1 Au2'
_space_group_name_H-M_alt 'P 4/m m m'
_space_group_IT_number 123
_space_group_name_Hall '-P 4 2'
_cell_length_a 4.880
_cell_length_b 4.880
_cell_length_c 4.564
_cell_angle_alpha 90.00
_cell_angle_beta 90.00
_cell_angle_gamma 90.00
loop_
_atom_site_label
_atom_site_type_symbol
_atom_site_fract_x
_atom_site_fract_y
_atom_site_fract_z
_atom_site_occupancy
Zn1 Zn 0.000 0.000 0.000 1
Cu1 Cu 0.000 0.000 0.500 1
Sn1 Sn 0.500 0.500 0.500 1
Au1 Au 0.000 0.500 0.000 1
```

***

# 5
Below is crystalline Gd2TcI at its relaxed geometry, with properties calculated at the PBE level.

Summary:
- Formation energy without anion corrections: -0.42 eV/atom
- E_tot: -10.4385 eV/atom
- ρ: 8.6 Mg/m³
- Spin magnetization: 14.1 μB per cell
- Calculated volume: 26.1 A^3/atom
- Relative energy among the computed polymorphs: 0 meV per atom

Cell and atoms, written as CIF:
```
data_Gd2TcI
_chemical_formula_sum 'Gd2 Tc1 I1'
_space_group_name_H-M_alt 'P 4/m m m'
_space_group_IT_number 123
_space_group_name_Hall '-P 4 2'
_cell_length_a 3.562
_cell_length_b 3.562
_cell_length_c 8.220
_cell_angle_alpha 90.00
_cell_angle_beta 90.00
_cell_angle_gamma 90.00
loop_
_atom_site_label
_atom_site_type_symbol
_atom_site_fract_x
_atom_site_fract_y
_atom_site_fract_z
_atom_site_occupancy
Gd1 Gd 0.000 0.000 0.199 1
Tc1 Tc 0.500 0.500 0.000 1
I1 I 0.500 0.500 0.500 1
```

***

# 6
Below is crystalline Mn3VCu at its relaxed geometry, with properties calculated at the PBE level.

Summary:
- E_tot: -7.0591 eV/atom
- ρ: 5.5 Mg/m³
- Spin magnetization: 7.7 μB per cell
- Calculated volume: 16.8 A^3/atom
- Relative energy among the computed polymorphs: 39 meV per atom
- Energy of formation from the pure elements: 104.7 kJ per mole of atoms

Cell and atoms, written as CIF:
```
data_Mn3VCu
_chemical_formula_sum 'Mn3 V1 Cu1'
_space_group_name_H-M_alt 'P m -3 m'
_space_group_IT_number 221
_space_group_name_Hall '-P 4 2 3'
_cell_length_a 4.380
_cell_length_b 4.380
_cell_length_c 4.380
_cell_angle_alpha 90.00
_cell_angle_beta 90.00
_cell_angle_gamma 90.00
loop_
_atom_site_label
_atom_site_type_symbol
_atom_site_fract_x
_atom_site_fract_y
_atom_site_fract_z
_atom_site_occupancy
Mn1 Mn 0.000 0.000 0.500 1
V1 V 0.000 0.000 0.000 1
Cu1 Cu 0.500 0.500 0.500 1
```

***

# 7
Below is crystalline NaYZrW at its relaxed geometry, with properties calculated at the PBE level.

Summary:
- E_tot: -6.7345 eV/atom
- ρ: 7.4 Mg/m³
- Spin magnetization: 0.0 μB per cell
- Calculated volume: 21.8 A^3/atom
- Relative energy among the computed polymorphs: 302 meV per atom
- Energy of formation from the pure elements: 56.6 kJ per mole of atoms

Cell and atoms, written as CIF:
```
data_NaYZrW
_chemical_formula_sum 'Na4 Y4 Zr4 W4'
_space_group_name_H-M_alt 'F -4 3 m'
_space_group_IT_number 216
_space_group_name_Hall 'F -4 2 3'
_cell_length_a 7.043
_cell_length_b 7.043
_cell_length_c 7.043
_cell_angle_alpha 90.00
_cell_angle_beta 90.00
_cell_angle_gamma 90.00
loop_
_atom_site_label
_atom_site_type_symbol
_atom_site_fract_x
_atom_site_fract_y
_atom_site_fract_z
_atom_site_occupancy
Na1 Na 0.000 0.000 0.000 1
Y1 Y 0.250 0.250 0.750 1
Zr1 Zr 0.250 0.250 0.250 1
W1 W 0.000 0.000 0.500 1
```

***

# 8
Below is crystalline LiNbMo2 at its relaxed geometry, with properties calculated at the PBE level.

Summary:
- E_tot: -7.9683 eV/atom
- ρ: 7.7 Mg/m³
- Spin magnetization: 0.0 μB per cell
- Calculated volume: 15.8 A^3/atom
- Relative energy among the computed polymorphs: 0 meV per atom
- Energy of formation from the pure elements: 42.8 kJ per mole of atoms

Cell and atoms, written as CIF:
```
data_LiNbMo2
_chemical_formula_sum 'Li4 Nb4 Mo8'
_space_group_name_H-M_alt 'F m -3 m'
_space_group_IT_number 225
_space_group_name_Hall '-F 4 2 3'
_cell_length_a 6.321
_cell_length_b 6.321
_cell_length_c 6.321
_cell_angle_alpha 90.00
_cell_angle_beta 90.00
_cell_angle_gamma 90.00
loop_
_atom_site_label
_atom_site_type_symbol
_atom_site_fract_x
_atom_site_fract_y
_atom_site_fract_z
_atom_site_occupancy
Li1 Li 0.000 0.000 0.000 1
Nb1 Nb 0.000 0.000 0.500 1
Mo1 Mo 0.250 0.250 0.250 1
```